VASP calculation (PBE+U) on CsV2IrO8 after structural relaxation.

Computed properties:
Crystal system: trigonal
E_tot in eV/atom: -6.8906
M_tot in μB/f.u.: 1.498
Mass density in g/cm³: 4.025

Unit cell a=5.5974 b=5.5974 c=8.4394 alpha=90.00 beta=90.00 gamma=120.00
With the nearest neighbours (Å) after each atom.
Sites, in units of the cell vectors:
Cs (0.0000, 0.0000, 0.0000)  12 O 3.35-3.46
V (0.3333, 0.6667, 0.7005)  4 O 1.66-1.77
V (0.6667, 0.3333, 0.2995)  4 O 1.66-1.77
Ir (0.0000, 0.0000, 0.5000)  6 O 1.94
O (0.1290, 0.3220, 0.6347)  1 V 1.77, 1 Ir 1.94
O (0.1930, 0.8710, 0.6347)  1 V 1.77, 1 Ir 1.94
O (0.3220, 0.1930, 0.3653)  1 V 1.77, 1 Ir 1.94
O (0.3333, 0.6667, 0.8971)  1 V 1.66
O (0.6667, 0.3333, 0.1029)  1 V 1.66
O (0.6780, 0.8070, 0.6347)  1 V 1.77, 1 Ir 1.94
O (0.8070, 0.1290, 0.3653)  1 V 1.77, 1 Ir 1.94
O (0.8710, 0.6780, 0.3653)  1 V 1.77, 1 Ir 1.94